1.
Nd6HgP2Cl3: optimized geometry, GGA-PBE.

a = 18.474 Å, b = 4.139 Å, c = 8.611 Å
α = 90.00°, β = 103.04°, γ = 90.00°
Space group C2/m (No. 12)
Symmetry-distinct sites (fractional):
1 Nd 0.009 0.000 0.261 (multiplicity 4)
2 Nd 0.167 0.500 0.111 (multiplicity 4)
3 Nd 0.174 0.500 0.565 (multiplicity 4)
4 Hg 0.000 0.500 0.000 (multiplicity 2)
5 P 0.169 0.000 0.337 (multiplicity 4)
6 Cl 0.000 0.500 0.500 (multiplicity 2)
7 Cl 0.168 0.000 0.833 (multiplicity 4)

Output
The value obtained for the formation energy from raw total energies is -1.34 eV/atom. As for the volume: 320.75 Å³/f.u. The value obtained for the final energy is -122.743 eV per cell.

---

2.
RbNdHg2Cl8: optimized geometry, GGA-PBE.

a = 6.820 Å, b = 6.891 Å, c = 9.347 Å
α = 72.35°, β = 80.38°, γ = 85.39°
Space group P-1 (No. 2)
Symmetry-distinct sites (fractional):
1 Rb 0.000 0.000 0.000 (multiplicity 1)
2 Nd 0.000 0.000 0.500 (multiplicity 1)
3 Hg 0.475 0.470 0.227 (multiplicity 2)
4 Cl 0.138 0.735 0.749 (multiplicity 2)
5 Cl 0.192 0.794 0.311 (multiplicity 2)
6 Cl 0.338 0.240 0.466 (multiplicity 2)
7 Cl 0.405 0.267 0.997 (multiplicity 2)

Output
The value obtained for the formation energy from raw total energies is -1.35 eV/atom. As for the volume: 412.48 Å³/f.u. The value obtained for the final energy is -37.358 eV per cell.

---

3.
Nd3HgRuCl: optimized geometry, GGA-PBE.

a = 7.989 Å, b = 4.541 Å, c = 9.563 Å
α = 90.00°, β = 103.20°, γ = 90.00°
Space group P2_1/m (No. 11)
Symmetry-distinct sites (fractional):
1 Nd 0.091 0.250 0.325 (multiplicity 2)
2 Nd 0.208 0.250 0.928 (multiplicity 2)
3 Nd 0.332 0.750 0.603 (multiplicity 2)
4 Hg 0.319 0.750 0.239 (multiplicity 2)
5 Ru 0.091 0.250 0.618 (multiplicity 2)
6 Cl 0.412 0.750 0.902 (multiplicity 2)

Output
The value obtained for the formation energy from raw total energies is -0.62 eV/atom. As for the volume: 168.88 Å³/f.u. The value obtained for the final energy is -58.861 eV per cell.

---

4.
Nd3HgSCl: optimized geometry, GGA-PBE.

a = 7.944 Å, b = 4.101 Å, c = 10.870 Å
α = 90.00°, β = 107.99°, γ = 90.00°
Space group P2_1/m (No. 11)
Symmetry-distinct sites (fractional):
1 Nd 0.176 0.250 0.157 (multiplicity 2)
2 Nd 0.290 0.750 0.507 (multiplicity 2)
3 Nd 0.318 0.750 0.869 (multiplicity 2)
4 Hg 0.494 0.750 0.279 (multiplicity 2)
5 S 0.085 0.250 0.887 (multiplicity 2)
6 Cl 0.029 0.250 0.381 (multiplicity 2)

Output
The value obtained for the formation energy from raw total energies is -1.25 eV/atom. As for the volume: 168.42 Å³/f.u. The value obtained for the final energy is -56.202 eV per cell.

---

5.
Nd3HgSeCl: optimized geometry, GGA-PBE.

a = 7.949 Å, b = 4.222 Å, c = 11.035 Å
α = 90.00°, β = 108.86°, γ = 90.00°
Space group P2_1/m (No. 11)
Symmetry-distinct sites (fractional):
1 Nd 0.166 0.250 0.140 (multiplicity 2)
2 Nd 0.212 0.250 0.494 (multiplicity 2)
3 Nd 0.319 0.750 0.834 (multiplicity 2)
4 Hg 0.008 0.250 0.712 (multiplicity 2)
5 Se 0.405 0.750 0.112 (multiplicity 2)
6 Cl 0.471 0.750 0.617 (multiplicity 2)

Output
The value obtained for the formation energy from raw total energies is -1.18 eV/atom. As for the volume: 175.21 Å³/f.u. The value obtained for the final energy is -54.088 eV per cell.

---

6.
NdTlHgCl6: optimized geometry, GGA-PBE.

a = 7.1329 Å, b = 7.1329 Å, c = 13.9396 Å
α = 90.00°, β = 90.00°, γ = 120.00°
Space group P-31c (No. 163)
Symmetry-distinct sites (fractional):
1 Nd 0.3333 0.6667 0.2500 (multiplicity 2)
2 Tl 0.0000 0.0000 0.0000 (multiplicity 2)
3 Hg 0.3333 0.6667 0.7500 (multiplicity 2)
4 Cl 0.0040 0.3732 0.6377 (multiplicity 12)

Output
The value obtained for the formation energy from raw total energies is -1.43 eV/atom. As for the volume: 307.10 Å³/f.u. The value obtained for the final energy is -62.707 eV per cell.

---

7.
NiHg2Cl: optimized geometry, GGA-PBE.

a = 3.5414 Å, b = 3.5414 Å, c = 26.6349 Å
α = 90.00°, β = 90.00°, γ = 120.00°
Space group R3m (No. 160, hexagonal axes)
Symmetry-distinct sites (fractional):
1 Ni 0.0000 0.0000 0.0000 (multiplicity 3)
2 Hg 0.0000 0.0000 0.5033 (multiplicity 3)
3 Hg 0.0000 0.0000 0.7373 (multiplicity 3)
4 Cl 0.0000 0.0000 0.2937 (multiplicity 3)

Output
The value obtained for the energy above the lowest structure with this stoichiometry is 4 meV/atom. The value obtained for the formation energy from raw total energies is -0.05 eV/atom. As for the volume: 96.43 Å³/f.u. The value obtained for the final energy is -25.275 eV per cell.

---

8.
NiHg2Cl: optimized geometry, GGA-PBE.

a = 4.310 Å, b = 3.202 Å, c = 7.132 Å
α = 90.00°, β = 107.56°, γ = 90.00°
Space group Pm (No. 6)
Symmetry-distinct sites (fractional):
1 Ni 0.000 0.000 0.000 (multiplicity 1)
2 Hg 0.203 0.000 0.410 (multiplicity 1)
3 Hg 0.553 0.500 0.107 (multiplicity 1)
4 Cl 0.879 0.500 0.761 (multiplicity 1)

Output
The value obtained for the energy above the lowest structure with this stoichiometry is 35 meV/atom. The value obtained for the formation energy from raw total energies is -0.02 eV/atom. As for the volume: 93.83 Å³/f.u. The value obtained for the final energy is -8.301 eV per cell.

---

9.
NiHg2Cl: optimized geometry, GGA-PBE.

a = 3.320 Å, b = 6.247 Å, c = 9.312 Å
α = 90.00°, β = 90.00°, γ = 90.00°
Space group Cmm2 (No. 35)
Symmetry-distinct sites (fractional):
1 Ni 0.000 0.000 0.000 (multiplicity 2)
2 Hg 0.000 0.000 0.488 (multiplicity 2)
3 Hg 0.000 0.500 0.778 (multiplicity 2)
4 Cl 0.000 0.500 0.157 (multiplicity 2)

Output
The value obtained for the energy above the lowest structure with this stoichiometry is 87 meV/atom. The value obtained for the formation energy from raw total energies is 0.03 eV/atom. As for the volume: 96.55 Å³/f.u. The value obtained for the final energy is -16.186 eV per cell.

---

10.
NiHg2Cl: optimized geometry, GGA-PBE.

a = 6.988 Å, b = 6.988 Å, c = 6.988 Å
α = 90.00°, β = 90.00°, γ = 90.00°
Space group Fm-3m (No. 225)
Symmetry-distinct sites (fractional):
1 Ni 0.000 0.000 0.000 (multiplicity 4)
2 Hg 0.250 0.250 0.250 (multiplicity 8)
3 Cl 0.000 0.000 0.500 (multiplicity 4)

Output
The value obtained for the energy above the lowest structure with this stoichiometry is 542 meV/atom. The value obtained for the formation energy from raw total energies is 0.49 eV/atom. As for the volume: 85.33 Å³/f.u. The value obtained for the final energy is -25.095 eV per cell.

---

11.
NiHg2Cl: optimized geometry, GGA-PBE.

a = 3.237 Å, b = 6.215 Å, c = 9.413 Å
α = 90.00°, β = 90.00°, γ = 90.00°
Space group Imm2 (No. 44)
Symmetry-distinct sites (fractional):
1 Ni 0.000 0.000 0.000 (multiplicity 2)
2 Hg 0.000 0.000 0.492 (multiplicity 2)
3 Hg 0.000 0.500 0.277 (multiplicity 2)
4 Cl 0.000 0.500 0.661 (multiplicity 2)

Output
The value obtained for the energy above the lowest structure with this stoichiometry is 54 meV/atom. The value obtained for the formation energy from raw total energies is 0.00 eV/atom. As for the volume: 94.68 Å³/f.u. The value obtained for the final energy is -16.451 eV per cell.

---

12.
NiHg2Cl: optimized geometry, GGA-PBE.

a = 3.677 Å, b = 3.677 Å, c = 7.142 Å
α = 90.00°, β = 90.00°, γ = 90.00°
Space group P4mm (No. 99)
Symmetry-distinct sites (fractional):
1 Ni 0.000 0.000 0.000 (multiplicity 1)
2 Hg 0.000 0.000 0.647 (multiplicity 1)
3 Hg 0.500 0.500 0.984 (multiplicity 1)
4 Cl 0.500 0.500 0.444 (multiplicity 1)

Output
The value obtained for the energy above the lowest structure with this stoichiometry is 184 meV/atom. The value obtained for the formation energy from raw total energies is 0.13 eV/atom. As for the volume: 96.57 Å³/f.u. The value obtained for the final energy is -7.705 eV per cell.